No. 1
A geometry-optimized TbTaGa6 structure. Source: Alexandria, functional PBE.

Cell and atoms, written as extended XYZ:
```
8
Lattice="2.640 -4.563 0.000 2.640 4.563 0.000 -0.012 0.000 6.052" Properties=species:S:1:pos:R:3 pbc="T T T"
Tb 0.000 0.000 0.000
Ta -0.006 0.000 3.026
Ga 1.317 2.282 1.643
Ga 3.950 -2.282 4.409
Ga 1.317 -2.282 1.643
Ga 3.950 2.282 4.409
Ga 2.636 0.000 1.657
Ga 2.631 0.000 4.395
```

Properties
V   18.222 Å³/atom
VASP energy   -36.5 eV for the cell shown
Symmetry   C2/m (12)
Energy relative to the elements   -0.236 eV/atom
Crystal system   monoclinic



No. 2
A geometry-optimized K4LiPa3O8 structure. Source: Alexandria, functional PBE.

Cell and atoms, written as extended XYZ:
```
16
Lattice="3.550 2.050 6.291 -3.550 2.050 6.291 0.000 -4.099 6.291" Properties=species:S:1:pos:R:3 pbc="T T T"
K 0.000 0.000 0.000
K -1.775 -1.025 6.291
K -1.775 1.025 12.582
K 0.000 2.050 6.291
Li 0.000 0.000 9.437
Pa -3.550 0.000 9.437
Pa -1.775 1.025 3.146
Pa 1.775 1.025 3.146
O -1.893 -1.093 10.590
O 0.000 0.000 4.356
O 0.000 -2.186 8.284
O -1.893 1.093 8.284
O 1.893 -1.093 10.590
O 0.000 2.186 10.590
O 0.000 0.000 14.517
O 1.893 1.093 8.284
```

Properties
V   17.167 Å³/atom
VASP energy   -113.0 eV for the cell shown
Symmetry   R-3m (166)
Crystal system   trigonal



No. 3
A geometry-optimized TcAu2Br structure. Source: Alexandria, functional PBE.

Cell and atoms, written as extended XYZ:
```
4
Lattice="1.457 -2.569 0.000 1.457 2.569 0.000 0.000 0.000 10.240" Properties=species:S:1:pos:R:3 pbc="T T T"
Tc 0.000 0.000 0.000
Au 1.457 0.000 2.340
Au 1.457 0.000 7.900
Br 0.000 0.000 5.120
```

Properties
V   19.169 Å³/atom
VASP energy   -16.3 eV for the cell shown
Symmetry   Cmmm (65)
Polymorph energy (0 for the lowest one)   235 meV/atom
Crystal system   orthorhombic



No. 4
A geometry-optimized Tb7I12N structure. Source: Alexandria, functional PBE.

Cell and atoms, written as extended XYZ:
```
20
Lattice="7.768 4.485 3.419 -7.768 4.485 3.419 0.000 -8.970 3.419" Properties=species:S:1:pos:R:3 pbc="T T T"
Tb 0.000 0.000 0.000
Tb -1.952 -0.551 3.729
Tb 1.453 -1.415 3.729
Tb 0.499 1.966 3.729
Tb -0.499 -1.966 6.528
Tb -1.453 1.415 6.528
Tb 1.952 0.551 6.528
I -0.623 -2.480 1.708
I -1.836 1.779 1.708
I -3.009 -3.062 5.117
I -4.157 1.075 5.140
I 2.459 0.700 1.708
I 1.147 -4.137 5.140
I -1.147 4.137 5.117
I -2.459 -0.700 8.549
I 4.157 -1.075 5.117
I 3.009 3.062 5.140
I 1.836 -1.779 8.549
I 0.623 2.480 8.549
N 0.000 0.000 5.128
```

Properties
V   35.734 Å³/atom
VASP energy   -85.0 eV for the cell shown
Symmetry   R-3 (148)
Crystal system   trigonal



The magnetic moment results, record by record, are as follows: 0.00, 4.01, 1.33, 0.00 μB per formula unit.